ZnCuTcGe | PBE-GGA | optimized geometry

Cell lengths 4.332, 4.332, 4.332 Å; angles 60.00, 60.00, 60.00 degrees
Element x y z (fractional)
Ge 0.000 0.000 0.000
Zn 0.250 0.250 0.250
Tc 0.500 0.500 0.500
Cu 0.750 0.750 0.750

Computed properties:
- space group = F-43m, No. 216
- polymorph energy (0 for the lowest one) (eV/atom) = 0.341
- magnetic moment (μB per formula unit) = 0.03

TlCu3GeTe4 | PBE-GGA | optimized geometry

Cell lengths 6.466, 6.466, 6.466 Å; angles 90.00, 90.00, 90.00 degrees
Element x y z (fractional)
Te 0.264 0.264 0.264
Te 0.736 0.736 0.264
Cu 0.500 0.500 0.000
Ge 0.500 0.500 0.500
Tl 0.000 0.000 0.000
Te 0.264 0.736 0.736
Te 0.736 0.264 0.736
Cu 0.000 0.500 0.500
Cu 0.500 0.000 0.500

Computed properties:
- space group = P-43m, No. 215
- VASP energy (Ha/atom) = -0.1236